The following is a PBE-GGA calculation of a relaxed structure of La8Os3Cl3F, from Alexandria via LeMat-Bulk.

a = 8.3460 Å, b = 8.3570 Å, c = 8.8057 Å
α = 118.33°, β = 89.99°, γ = 119.99°
Element x y z (fractional)
La: 0.2764 0.0337 0.2914
Os: 0.5000 0.5000 0.5000
Os: 0.5000 0.0000 0.5000
La: 0.7381 0.4762 0.7137
La: 0.7571 0.0337 0.2911
La: 0.2429 0.9663 0.7089
La: 0.7236 0.9663 0.7086
Cl: 0.0000 0.5000 0.0000
La: 0.7567 0.5133 0.2909
F: 0.0000 0.0000 0.5000
La: 0.2619 0.5238 0.2863
La: 0.2433 0.4867 0.7091
Cl: 0.5000 0.5000 0.0000
Cl: 0.0000 0.0000 0.0000
Os: 0.0000 0.5000 0.5000

Properties
The calculation puts the total magnetic moment at 0.000 μB per cell. The final energy comes out at -96.29 eV for the cell shown. The calculation puts the formation energy (no corrections) at -1.051 eV per atom.